The following is a PBE calculation of crystalline ScTl2Tc at its relaxed geometry, from Alexandria.

Calculated values
**SG**: No. 47
**Calculated volume**: 82.0 Å³/f.u.
**DFT total energy**: -0.186 hartree per atom
**Energy of formation from the pure elements**: 300 meV/atom
**Relative energy among the computed polymorphs**: 120 meV/atom
**Density**: 11.17 g/cm3

Cell lengths 3.597, 3.646, 6.254 Å; angles 90.00, 90.00, 90.00 degrees
Sites, in units of the cell vectors:
Sc 0.000 0.000 0.000
Tl 0.500 0.500 0.264
Tl 0.500 0.500 0.736
Tc 0.000 0.000 0.500